Record 1
This record from the Alexandria database describes an optimized crystal structure of InGaHg2F. The functional is PBE-GGA.

Structure (POSCAR):
```
InGaHg2F
1.0
5.206 0.000 0.000
0.000 5.206 0.000
0.000 0.000 5.514
In Ga Hg F
1 1 2 1
direct
0.000 0.000 0.000
0.000 0.000 0.500
0.000 0.500 0.500
0.500 0.000 0.500
0.500 0.500 0.000
```

Its raw formation energy is -0.271 eV per atom.

Record 2
This record from the Alexandria database describes an optimized crystal structure of HgC3. The functional is PBE-GGA.

Structure (POSCAR):
```
HgC3
1.0
3.493 -1.279 0.000
3.493 1.279 0.000
-2.886 0.000 7.101
Hg C
1 3
direct
0.000 0.000 0.000
0.304 0.304 0.500
0.500 0.500 0.500
0.696 0.696 0.500
```

The value obtained for the formation energy is 3.0 eV/f.u.

Record 3
This record from the Alexandria database describes an optimized crystal structure of LiLaLu. The functional is PBE-GGA.

Structure (POSCAR):
```
LiLaLu
1.0
-1.872 1.872 6.126
1.872 -1.872 6.126
1.872 1.872 -6.126
Li La Lu
1 1 1
direct
0.000 0.000 0.000
0.334 0.334 0.000
0.638 0.638 0.000
```

The value obtained for the formation energy is 0.3 eV/f.u.

Record 4
This record from the Alexandria database describes an optimized crystal structure of InBiOF2. The functional is PBE-GGA.

Structure (POSCAR):
```
InBiOF2
1.0
4.583 0.000 0.000
0.000 4.583 0.000
0.000 0.000 4.268
In Bi O F
1 1 1 2
direct
0.000 0.000 0.000
0.500 0.500 0.500
0.000 0.000 0.500
0.000 0.500 0.000
0.500 0.000 0.000
```

Its raw formation energy is -1.302 eV per atom.

no.,energy relative to the lowest polymorph listed for this composition (eV/f.u.)
1,1.23
2,0.00
3,0.00
4,1.23